(1)
Compound: KTaO3
Source: Alexandria
Functional: GGA-PBE
Structure: relaxed

Lattice parameters (Å, degrees): 13.1941 8.0988 8.0988 105.81 136.07 43.93
Element x y z (fractional)
K: 0.7500 0.1394 0.6394
K: 0.2500 0.8606 0.3606
K: 0.7500 0.5770 0.0770
K: 0.2500 0.4230 0.9230
O: 0.3087 0.4662 0.3164
O: 0.1913 0.8164 0.9662
O: 0.6913 0.5338 0.6836
O: 0.8087 0.1836 0.0338
O: 0.1337 0.2700 0.1744
O: 0.3663 0.6744 0.7700
O: 0.8663 0.7300 0.8256
O: 0.6337 0.3256 0.2300
O: 0.3689 0.3064 0.6757
O: 0.1311 0.1757 0.8064
O: 0.6311 0.6936 0.3243
O: 0.8689 0.8243 0.1936
Ta: 0.1369 0.5053 0.2773
Ta: 0.3631 0.7773 0.0053
Ta: 0.8631 0.4947 0.7227
Ta: 0.6369 0.2227 0.9947

The magnetization comes out at 0.00 Bohr magnetons per cell. For the raw total energy, the calculation gives -161.81 eV for the cell shown. Its density of states at the Fermi level is 0.000 states/eV/cell. For the formation energy (no corrections), the calculation gives -2.53 eV/atom. Its space-group type is C2/c, No. 15.

---

(2)
Compound: Rh2W
Source: Alexandria
Functional: GGA-PBE
Structure: relaxed

Lattice parameters (Å, degrees): 3.8819 6.1349 3.9061 90.00 90.00 71.56
Element x y z (fractional)
Rh: 0.5792 0.8416 0.2500
Rh: 0.4208 0.1584 0.7500
Rh: 0.2516 0.4968 0.2500
Rh: 0.7484 0.5032 0.7500
W: 0.9105 0.1790 0.2500
W: 0.0895 0.8210 0.7500

The magnetization comes out at 0.00 Bohr magnetons per cell. For the raw total energy, the calculation gives -56.42 eV for the cell shown. Its density of states at the Fermi level is 5.045 states/eV/cell. As for the formation energy: -184 meV per atom. Its space-group type is Cmcm, No. 63.

---

(3)
Compound: NaCr
Source: Alexandria
Functional: GGA-PBE
Structure: relaxed

Lattice parameters (Å, degrees): 13.2918 2.9129 7.2854 90.00 90.00 90.00
Each line ends with the local moment (μB).
Element x y z (fractional)
Na: 0.7894 0.0000 0.7618  0.00
Na: 0.2106 0.0000 0.7618  0.00
Na: 0.2894 0.5000 0.2618  0.00
Na: 0.7106 0.5000 0.2618  0.00
Na: 0.0000 0.5000 0.0455  -0.01
Na: 0.5000 0.0000 0.5455  -0.01
Cr: 0.9192 0.0000 0.4138  1.21
Cr: 0.0808 0.0000 0.4138  1.21
Cr: 0.4192 0.5000 0.9138  1.21
Cr: 0.5808 0.5000 0.9138  1.21
Cr: 0.0000 0.5000 0.6054  -1.57
Cr: 0.5000 0.0000 0.1054  -1.57

The magnetization comes out at 2.00 Bohr magnetons per cell. For the raw total energy, the calculation gives -55.60 eV for the cell shown. Its density of states at the Fermi level is 10.233 states/eV/cell. As for the formation energy: 838 meV per atom. For the energy above the lowest structure with this stoichiometry, the calculation gives 51 meV/atom. Its space-group type is Imm2, No. 44.

---

(4)
Compound: Sm3Er2Cd
Source: Alexandria
Functional: GGA-PBE
Structure: relaxed

Lattice parameters (Å, degrees): 11.3274 6.0940 6.0940 120.05 90.00 90.00
Element x y z (fractional)
Sm: 0.4696 0.1610 0.8390
Sm: 0.9696 0.1610 0.8390
Sm: 0.4696 0.5001 0.5001
Sm: 0.9696 0.4999 0.4999
Sm: 0.9696 0.8390 0.1610
Sm: 0.4696 0.8390 0.1610
Er: 0.7196 0.1643 0.5018
Er: 0.2196 0.4982 0.8357
Er: 0.2196 0.8357 0.4982
Er: 0.7196 0.5018 0.1643
Cd: 0.7197 0.8296 0.8296
Cd: 0.2197 0.1704 0.1704

The magnetization comes out at 0.00 Bohr magnetons per cell. For the raw total energy, the calculation gives -48.60 eV for the cell shown. Its density of states at the Fermi level is 17.611 states/eV/cell. As for the formation energy: -17 meV per atom. For the energy above the lowest structure with this stoichiometry, the calculation gives 68 meV/atom. Its space-group type is Cmcm, No. 63.

---

(5)
Compound: AcCu2Ru
Source: Alexandria
Functional: GGA-PBE
Structure: relaxed

Lattice parameters (Å, degrees): 4.3224 4.3224 5.6750 67.61 67.61 60.00
Element x y z (fractional)
Ru: 0.5000 0.5000 0.5000
Ac: 0.0000 0.0000 0.0000
Cu: 0.8052 0.8052 0.5843
Cu: 0.1948 0.1948 0.4157

The magnetization comes out at 0.00 Bohr magnetons per cell. For the raw total energy, the calculation gives -21.54 eV for the cell shown. Its density of states at the Fermi level is 3.241 states/eV/cell. As for the formation energy: 8 meV per atom. Its space-group type is R-3m, No. 166.

---

(6)
Compound: TaCrSbTe2
Source: Alexandria
Functional: GGA-PBE
Structure: relaxed

Lattice parameters (Å, degrees): 5.1257 5.1257 5.0219 90.00 90.00 90.00
Each line ends with the local moment (μB).
Element x y z (fractional)
Sb: 0.0000 0.0000 0.5000  -0.12
Te: 0.0000 0.5000 0.0000  -0.12
Te: 0.5000 0.0000 0.0000  -0.12
Cr: 0.0000 0.0000 0.0000  2.59
Ta: 0.5000 0.5000 0.5000  1.82

The magnetization comes out at 5.06 Bohr magnetons per cell. For the raw total energy, the calculation gives -26.89 eV for the cell shown. Its density of states at the Fermi level is 3.745 states/eV/cell. For the energy above the lowest structure with this stoichiometry, the calculation gives 321 meV/atom. For the formation energy (no corrections), the calculation gives 1.00 eV/atom. Its space-group type is P4/mmm, No. 123.

---

(7)
Compound: CuRe3
Source: Alexandria
Functional: GGA-PBE
Structure: relaxed

Lattice parameters (Å, degrees): 4.8648 4.8648 4.8648 90.00 90.00 90.00
Element x y z (fractional)
Cu: 0.0000 0.0000 0.0000
Cu: 0.5000 0.5000 0.5000
Re: 0.0000 0.2500 0.5000
Re: 0.0000 0.7500 0.5000
Re: 0.2500 0.5000 0.0000
Re: 0.5000 0.0000 0.2500
Re: 0.5000 0.0000 0.7500
Re: 0.7500 0.5000 0.0000

The magnetization comes out at 0.00 Bohr magnetons per cell. For the raw total energy, the calculation gives -80.59 eV for the cell shown. Its density of states at the Fermi level is 6.789 states/eV/cell. As for the formation energy: 286 meV per atom. Its space-group type is Pm-3n, No. 223.

---

(8)
Compound: AlCdPd6
Source: Alexandria
Functional: GGA-PBE
Structure: relaxed

Lattice parameters (Å, degrees): 3.9804 3.9804 7.8895 90.00 90.00 90.00
Element x y z (fractional)
Al: 0.0000 0.0000 0.5000
Cd: 0.0000 0.0000 0.0000
Pd: 0.5000 0.5000 0.0000
Pd: 0.5000 0.5000 0.5000
Pd: 0.5000 0.0000 0.2638
Pd: 0.5000 0.0000 0.7362
Pd: 0.0000 0.5000 0.2638
Pd: 0.0000 0.5000 0.7362

The magnetization comes out at 0.00 Bohr magnetons per cell. For the raw total energy, the calculation gives -39.15 eV for the cell shown. Its density of states at the Fermi level is 10.961 states/eV/cell. As for the formation energy: -417 meV per atom. Its space-group type is P4/mmm, No. 123.

---

(9)
Compound: ZrZn2Mo
Source: Alexandria
Functional: GGA-PBE
Structure: relaxed

Lattice parameters (Å, degrees): 3.9869 2.8653 6.4589 63.63 90.00 90.00
Element x y z (fractional)
Mo: 0.5000 0.7500 0.7500
Zn: 0.0000 0.0234 0.9766
Zn: 0.0000 0.4766 0.5234
Zr: 0.5000 0.2500 0.2500

The magnetization comes out at 0.00 Bohr magnetons per cell. For the raw total energy, the calculation gives -22.19 eV for the cell shown. Its density of states at the Fermi level is 1.506 states/eV/cell. As for the formation energy: -65 meV per atom. For the energy above the lowest structure with this stoichiometry, the calculation gives 28 meV/atom. Its space-group type is Pmmm, No. 47.

---

(10)
Compound: GdTcC2
Source: Alexandria
Functional: GGA-PBE
Structure: relaxed

Lattice parameters (Å, degrees): 3.2381 3.2381 5.8166 73.84 73.84 60.00
Each line ends with the local moment (μB).
Element x y z (fractional)
C: 0.2637 0.2637 0.2089  -0.04
C: 0.7363 0.7363 0.7911  -0.04
Gd: 0.5000 0.5000 0.5000  6.92
Tc: 0.0000 0.0000 0.0000  0.03

The magnetization comes out at 6.91 Bohr magnetons per cell. For the raw total energy, the calculation gives -42.41 eV for the cell shown. Its density of states at the Fermi level is 1.789 states/eV/cell. As for the formation energy: 120 meV per atom. Its space-group type is R-3m, No. 166.

---

(11)
Compound: SrOsN2O
Source: Alexandria
Functional: GGA-PBE
Structure: relaxed

Lattice parameters (Å, degrees): 3.8662 3.8662 4.1862 90.00 90.00 90.00
Element x y z (fractional)
Sr: 0.5000 0.5000 0.5000
Os: 0.0000 0.0000 0.0000
O: 0.0000 0.0000 0.5000
N: 0.0000 0.5000 0.0000
N: 0.5000 0.0000 0.0000

The magnetization comes out at 0.00 Bohr magnetons per cell. For the raw total energy, the calculation gives -37.69 eV for the cell shown. Its density of states at the Fermi level is 3.807 states/eV/cell. For the formation energy (no corrections), the calculation gives -0.63 eV/atom. Its space-group type is P4/mmm, No. 123.

---

(12)
Compound: PrPuN3
Source: Alexandria
Functional: GGA-PBE
Structure: relaxed

Lattice parameters (Å, degrees): 5.5438 6.0141 6.0141 120.00 90.00 90.00
Each line ends with the local moment (μB).
Element x y z (fractional)
Pr: 0.2500 0.6667 0.3333  0.02
Pr: 0.7500 0.3333 0.6667  0.02
Pu: 0.7500 0.0000 0.0000  2.67
Pu: 0.2500 0.0000 0.0000  2.67
N: 0.0000 0.7202 0.7202  -0.18
N: 0.5000 0.7202 0.0000  -0.18
N: 0.5000 0.0000 0.7202  -0.18
N: 0.0000 0.0000 0.2798  -0.18
N: 0.5000 0.2798 0.2798  -0.18
N: 0.0000 0.2798 0.0000  -0.18

The magnetization comes out at 4.00 Bohr magnetons per cell. For the raw total energy, the calculation gives -95.23 eV for the cell shown. Its density of states at the Fermi level is 10.085 states/eV/cell. For the formation energy (no corrections), the calculation gives -0.71 eV/atom. Its space-group type is P6_322, No. 182.

---

Q: raw total energy of number 7 (CuRe3)?
A: -80.59 eV for the cell shown

---

Q: What is the density of states at the Fermi level in the tenth record?
A: 1.789 states/eV/cell

---

Q: The highest magnetization belongs to which entry?
A: GdTcC2

---

Q: Number 1 is which compound?
A: KTaO3